# 1
## Pm2NbAsN5 (PBE)

Data for a geometry-optimized Pm2NbAsN5 structure.

Summary:
* uncorrected formation energy: -6.98 eV per formula unit
* M_tot: 0.000 μB/f.u.
* space group: Cmc2_1
* E_tot: -8.09 eV per atom

Cell lengths 7.4365, 7.4365, 10.1244 Å; angles 90.00, 90.00, 154.32 degrees
Last column: nearest neighbours and their distance in Å.
Fractional positions:
Pm 0.1140 0.8860 0.5000  8 N 2.55-2.70
Pm 0.1322 0.8678 0.1149  6 N 2.49-2.63
Pm 0.8678 0.1322 0.6149  6 N 2.49-2.63
Pm 0.8860 0.1140 0.0000  8 N 2.55-2.70
Nb 0.2196 0.7804 0.8318  1 N 1.89
Nb 0.7804 0.2196 0.3318  1 N 1.89
As 0.4506 0.5494 0.2609  4 N 1.80-1.94
As 0.5494 0.4506 0.7609  4 N 1.80-1.94
N 0.0430 0.9570 0.8573  2 As 1.92
N 0.2883 0.7117 0.4700  2 Nb 2.17
N 0.3254 0.6746 0.1929  1 As 1.94
N 0.3491 0.6509 0.8150  1 Nb 1.89
N 0.4963 0.5037 0.6000  1 As 1.80
N 0.5037 0.4963 0.1000  1 As 1.80
N 0.6509 0.3491 0.3150  1 Nb 1.89
N 0.6746 0.3254 0.6929  1 As 1.94
N 0.7117 0.2883 0.9700  2 Nb 2.17
N 0.9570 0.0430 0.3573  2 As 1.92

=====

# 2
## ZrAlSi2 (PBE)

Data for a geometry-optimized ZrAlSi2 structure.

Summary:
* uncorrected formation energy: 0.17 eV per formula unit
* M_tot: 0.000 μB/f.u.
* space group: P-6m2
* E_tot: -5.74 eV per atom

Cell lengths 3.0026, 3.0026, 9.5136 Å; angles 90.00, 90.00, 120.00 degrees
Last column: nearest neighbours and their distance in Å.
Fractional positions:
Zr 0.0000 0.0000 0.0000  6 Si 2.83, 6 Zr 3.00
Al 0.6667 0.3333 0.5000  2 Si 2.53
Si 0.6667 0.3333 0.2345  1 Al 2.53, 3 Zr 2.83
Si 0.6667 0.3333 0.7655  1 Al 2.53, 3 Zr 2.83

=====

# 3
## NdZn5Ni2Pt (PBE)

Data for a geometry-optimized NdZn5Ni2Pt structure.

Summary:
* M_tot: 0.000 μB/f.u.
* energy relative to the elements: -0.198 eV per atom
* space group: P4/mmm
* E_tot: -3.39 eV per atom

Cell lengths 4.6597, 4.6597, 6.9732 Å; angles 90.00, 90.00, 90.00 degrees
Last column: nearest neighbours and their distance in Å.
Fractional positions:
Nd 0.0000 0.0000 0.0000  12 Zn 3.16-3.29, 2 Pt 3.49
Zn 0.0000 0.5000 0.3057  2 Ni 2.34
Zn 0.0000 0.5000 0.6943  2 Ni 2.34
Zn 0.5000 0.0000 0.3057  2 Ni 2.34
Zn 0.5000 0.0000 0.6943  2 Ni 2.34
Zn 0.5000 0.5000 0.0000  2 Ni 2.32
Ni 0.5000 0.5000 0.3328  5 Zn 2.32-2.34, 1 Ni 2.33
Ni 0.5000 0.5000 0.6672  5 Zn 2.32-2.34, 1 Ni 2.33
Pt 0.0000 0.0000 0.5000  8 Zn 2.70

=====

# 4
## KInC (PBE)

Data for a geometry-optimized KInC structure.

Summary:
* M_tot: 0.000 μB/f.u.
* energy relative to the elements: 0.238 eV per atom
* space group: Amm2
* E_tot: -4.12 eV per atom

Cell lengths 4.3294, 9.9894, 9.9894 Å; angles 22.46, 90.00, 90.00 degrees
Last column: nearest neighbours and their distance in Å.
Fractional positions:
K 0.0000 0.0000 0.0000  8 C 2.93-3.06
K 0.5000 0.1631 0.1631  2 C 2.97
In 0.0000 0.7928 0.7928  4 In 3.27
In 0.5000 0.3692 0.3692  1 C 2.26
C 0.5000 0.4844 0.4844  1 C 1.26
C 0.5000 0.5487 0.5487  1 C 1.26

=====

> E_tot of number 2 (ZrAlSi2)?

-5.74 eV per atom

=====

> What is the M_tot in the third record?

0.000 μB/f.u.